The following is a PBE-GGA calculation of crystalline MoWSeN2 at its relaxed geometry, from Alexandria via LeMat-Bulk. Values from VASP.

Properties
E above lowest polymorph = 0.00 kJ/mol of atoms
Crystal system = tetragonal
ΔE_f (raw) = 0.75 eV/atom

```
&SYSTEM
  ibrav = 0, nat = 5, ntyp = 4
/
ATOMIC_SPECIES
Mo 95.94 Mo.upf
W 183.84 W.upf
Se 78.96 Se.upf
N 14.01 N.upf
CELL_PARAMETERS angstrom
3.914 0.000 0.000
0.000 3.914 0.000
0.000 0.000 5.300
ATOMIC_POSITIONS angstrom
Mo 0.000 0.000 0.000
W 1.957 1.957 2.650
Se 1.957 1.957 0.000
N 0.000 1.957 2.650
N 1.957 0.000 2.650
```